Below is a geometry-optimized Rh2AuBr structure, with properties calculated at the PBE level.

```
4
Lattice="1.433 -2.503 0.000 1.433 2.503 0.000 0.000 0.000 10.116" Properties=species:S:1:pos:R:3 pbc="T T T"
Rh 0.000 0.000 0.000
Rh 1.433 0.000 2.149
Au 0.000 0.000 4.586
Br 1.433 0.000 7.870
```

Results
- V: 18.14 Å³ per atom
- SG: Cmm2 (35)
- Offset from the most stable computed form: 10.6 kJ per mole of atoms
- DFT total energy: -4.431 eV per atom
- Magnetization: 0.00 μB per formula unit
- E_form (uncorrected): 482 meV per atom

=====

Below is a geometry-optimized Rh2AuBr structure, with properties calculated at the PBE level.

```
4
Lattice="1.516 0.875 8.403 -1.516 0.875 8.403 0.000 -1.751 8.403" Properties=species:S:1:pos:R:3 pbc="T T T"
Rh 0.000 0.000 6.218
Rh 0.000 0.000 18.992
Au 0.000 0.000 0.000
Br 0.000 0.000 12.605
```

Results
- V: 16.73 Å³ per atom
- SG: R-3m (166)
- Offset from the most stable computed form: 5.0 kJ per mole of atoms
- DFT total energy: -4.490 eV per atom
- Magnetization: 0.00 μB per formula unit
- E_form (uncorrected): 424 meV per atom

=====

Below is a geometry-optimized Rh2AuBr structure, with properties calculated at the PBE level.

```
4
Lattice="3.000 0.000 0.000 0.000 3.000 0.000 0.000 0.000 8.117" Properties=species:S:1:pos:R:3 pbc="T T T"
Rh 0.000 0.000 0.000
Rh 1.500 1.500 1.576
Au 0.000 0.000 3.451
Br 1.500 1.500 6.305
```

Results
- V: 18.27 Å³ per atom
- SG: P4mm (99)
- Offset from the most stable computed form: 0.0 kJ per mole of atoms
- DFT total energy: -4.541 eV per atom
- Magnetization: 0.00 μB per formula unit
- E_form (uncorrected): 372 meV per atom

=====

Below is a geometry-optimized Rh2AuBr structure, with properties calculated at the PBE level.

```
8
Lattice="-3.560 3.560 2.833 3.560 -3.560 2.833 3.560 3.560 -2.833" Properties=species:S:1:pos:R:3 pbc="T T T"
Rh 5.339 1.584 -0.708
Rh 1.584 1.780 0.708
Rh -1.780 1.975 2.125
Rh 1.975 1.780 3.541
Au 3.560 0.000 1.416
Au 0.000 0.000 2.833
Br 0.000 0.000 0.000
Br 0.000 3.560 1.416
```

Results
- V: 17.95 Å³ per atom
- SG: I-42d (122)
- Offset from the most stable computed form: 29.9 kJ per mole of atoms
- DFT total energy: -4.231 eV per atom
- Magnetization: 0.00 μB per formula unit
- E_form (uncorrected): 682 meV per atom

=====

> What is the V in the third record?

18.27 Å³ per atom

=====

> Which value of E_form (uncorrected) does entry 2 give?

424 meV per atom

=====

> The highest E_form (uncorrected) belongs to which entry?

number 4

=====

> Among the records above, which one has the highest V?

number 3